Material: SrLa2Ag
Method: DFT, PBE
State: optimized geometry Values from VASP.

```
&SYSTEM
  ibrav = 0, nat = 4, ntyp = 3
/
ATOMIC_SPECIES
La 138.91 La.upf
Ag 107.87 Ag.upf
Sr 87.62 Sr.upf
CELL_PARAMETERS angstrom
6.744 0.001 0.000
3.312 5.875 0.000
-5.028 -2.938 3.402
ATOMIC_POSITIONS angstrom
La 0.000 0.000 0.000
La 5.028 2.938 0.000
Ag 3.372 0.000 1.701
Sr 1.656 2.937 1.701
```

Results
E_form   0.4 eV/f.u.
Energy above the lowest structure with this stoichiometry   183 meV per atom
N(E_F)   6.468 states/eV/cell

Material: SrLa2Ag3
Method: DFT, PBE
State: optimized geometry Values from VASP.

```
&SYSTEM
  ibrav = 0, nat = 6, ntyp = 3
/
ATOMIC_SPECIES
Sr 87.62 Sr.upf
La 138.91 La.upf
Ag 107.87 Ag.upf
CELL_PARAMETERS angstrom
3.839 0.000 0.000
0.000 3.839 0.000
0.000 0.000 11.728
ATOMIC_POSITIONS angstrom
Sr 1.919 1.919 5.864
La 1.919 1.919 9.796
La 1.919 1.919 1.933
Ag 0.000 0.000 3.736
Ag 0.000 0.000 0.000
Ag 0.000 0.000 7.992
```

Results
E_form   -1.6 eV/f.u.
N(E_F)   4.582 states/eV/cell

Material: SrLa3Ag4
Method: DFT, PBE
State: optimized geometry Values from VASP.

```
&SYSTEM
  ibrav = 0, nat = 16, ntyp = 3
/
ATOMIC_SPECIES
Ag 107.87 Ag.upf
La 138.91 La.upf
Sr 87.62 Sr.upf
CELL_PARAMETERS angstrom
-0.823 1.964 5.024
-7.479 0.608 -1.463
-1.551 -10.144 3.710
ATOMIC_POSITIONS angstrom
Ag -2.214 1.128 2.160
Ag -3.785 -5.499 7.453
Ag -2.187 -2.389 0.578
Ag -7.666 -5.183 6.693
Ag -6.089 1.444 1.401
Ag -6.068 -2.073 -0.181
Ag -2.989 -3.944 4.015
Ag -6.864 -3.628 3.257
La -5.314 -6.322 4.562
La -0.800 -1.553 3.442
La -1.575 -6.627 5.293
La 0.000 0.000 0.000
La -0.776 -5.072 1.855
La -4.539 -1.250 2.709
Sr -3.740 0.304 -0.732
Sr -4.515 -4.768 1.124
```

Results
E_form   -2.1 eV/f.u.
N(E_F)   11.452 states/eV/cell

Material: SrLa2Ag
Method: DFT, PBE
State: optimized geometry Values from VASP.

```
&SYSTEM
  ibrav = 0, nat = 4, ntyp = 3
/
ATOMIC_SPECIES
Sr 87.62 Sr.upf
La 138.91 La.upf
Ag 107.87 Ag.upf
CELL_PARAMETERS angstrom
0.000 4.065 4.065
4.065 0.000 4.065
4.065 4.065 0.000
ATOMIC_POSITIONS angstrom
Sr 0.000 0.000 0.000
La 2.032 2.032 2.032
La 6.097 6.097 6.097
Ag 4.065 4.065 4.065
```

Results
E_form   0.7 eV/f.u.
Energy above the lowest structure with this stoichiometry   261 meV per atom
N(E_F)   7.181 states/eV/cell